*1*
## TlCr2Mo (PBE-GGA)

Data for crystalline TlCr2Mo at its relaxed geometry.

The space group is I-42d (No. 122) and the conventional cell measures 7.077, 7.077 and 5.489 Å, with angles of 90.00, 90.00 and 90.00 degrees. The asymmetric unit holds Tl at (0.000, 0.000, 0.000), Cr at (0.201, 0.250, 0.625) and Mo at (0.000, 0.000, 0.500).

***

*2*
## TlCr2Mo (PBE-GGA)

Data for crystalline TlCr2Mo at its relaxed geometry.

The space group is Pm (No. 6) and the conventional cell measures 2.943, 3.756 and 5.855 Å, with angles of 90.00, 96.20 and 90.00 degrees. The asymmetric unit holds Tl at (0.000, 0.000, 0.000), Cr at (0.597, 0.500, 0.305), Cr at (0.973, 0.000, 0.479) and Mo at (0.414, 0.500, 0.679).

***

Result of the stability comparison: *2* is the most stable of them.

***

*1*
## TlCrMo (PBE-GGA)

Data for crystalline TlCrMo at its relaxed geometry.

The space group is P3m1 (No. 156) and the conventional cell measures 4.4804, 4.4804 and 2.9391 Å, with angles of 90.00, 90.00 and 120.00 degrees. The asymmetric unit holds Tl at (0.0000, 0.0000, 0.0000), Cr at (0.6667, 0.3333, 0.3422) and Mo at (0.3333, 0.6667, 0.5497).

***

*2*
## TlCrMo (PBE-GGA)

Data for crystalline TlCrMo at its relaxed geometry.

The space group is P3m1 (No. 156) and the conventional cell measures 3.0759, 3.0759 and 6.5936 Å, with angles of 90.00, 90.00 and 120.00 degrees. The asymmetric unit holds Tl at (0.0000, 0.0000, 0.0000), Cr at (0.6667, 0.3333, 0.3647) and Mo at (0.3333, 0.6667, 0.6099).

***

*3*
## TlCrMo (PBE-GGA)

Data for crystalline TlCrMo at its relaxed geometry.

The space group is Fmm2 (No. 42) and the conventional cell measures 3.128, 5.024 and 13.660 Å, with angles of 90.00, 90.00 and 90.00 degrees. The asymmetric unit holds Tl at (0.000, 0.000, 0.000), Cr at (0.000, 0.000, 0.680) and Mo at (0.000, 0.000, 0.308).

***

Result of the stability comparison: *2* is the most stable of them.

***

*1*
## TlCrMo (PBE-GGA)

Data for crystalline TlCrMo at its relaxed geometry.

The space group is I4mm (No. 107) and the conventional cell measures 3.180, 3.180 and 10.150 Å, with angles of 90.00, 90.00 and 90.00 degrees. The asymmetric unit holds Tl at (0.000, 0.000, 0.000), Cr at (0.000, 0.000, 0.685) and Mo at (0.000, 0.000, 0.303).

***

*2*
## TlCrMo (PBE-GGA)

Data for crystalline TlCrMo at its relaxed geometry.

The space group is F-43m (No. 216) and the conventional cell measures 6.148, 6.148 and 6.148 Å, with angles of 90.00, 90.00 and 90.00 degrees. The asymmetric unit holds Tl at (0.000, 0.000, 0.000), Cr at (0.250, 0.250, 0.250) and Mo at (0.000, 0.000, 0.500).

***

Result of the stability comparison: *1* is the most stable of them.

***

*1*
## V6CrMo (PBE-GGA)

Data for crystalline V6CrMo at its relaxed geometry.

The space group is Cmmm (No. 65) and the conventional cell measures 6.029, 8.546 and 4.194 Å, with angles of 90.00, 90.00 and 90.00 degrees. The asymmetric unit holds V at (0.000, 0.247, 0.000), V at (0.244, 0.000, 0.000), V at (0.250, 0.250, 0.500), Cr at (0.000, 0.000, 0.500) and Mo at (0.000, 0.500, 0.500).

***

*2*
## V6CrMo (PBE-GGA)

Data for crystalline V6CrMo at its relaxed geometry.

The space group is R-3m (No. 166, hexagonal axes) and the conventional cell measures 8.7663, 8.7663 and 4.9662 Å, with angles of 90.00, 90.00 and 120.00 degrees. The asymmetric unit holds V at (0.0055, 0.5028, 0.2503), Cr at (0.0000, 0.0000, 0.5000) and Mo at (0.0000, 0.0000, 0.0000).

***

Result of the stability comparison: *1* is the most stable of them.